Record 1
12
Lattice="-1.649 2.905 1.657 2.034 -2.211 5.901 5.962 3.756 -0.648" Properties=species:S:1:pos:R:3 comment="CeGaNi4, optimized geometry, DFT GGA-PBE" e_form_ev_per_atom=-0.312 vol_a3_per_atom=14.6 dft_energy_ev_per_atom=-5.6599 pbc="T T T"
Ce 5.813 1.359 3.403
Ce 2.184 0.185 1.849
Ga 4.930 2.318 0.843
Ga 3.066 -0.774 4.409
Ni 2.981 1.878 -0.324
Ni 0.000 0.000 0.000
Ni 5.619 2.125 6.063
Ni 0.728 2.324 0.846
Ni 0.828 0.024 4.977
Ni 5.519 4.425 1.932
Ni 3.380 1.632 4.700
Ni 2.967 2.817 2.210

Record 2
12
Lattice="-1.859 2.335 3.829 1.413 -1.190 4.489 5.903 5.917 2.336" Properties=species:S:1:pos:R:3 comment="Ce2GaNi9, optimized geometry, DFT GGA-PBE" e_form_ev_per_atom=-0.231 vol_a3_per_atom=14.0 dft_energy_ev_per_atom=-5.8087 pbc="T T T"
Ce 1.984 3.366 8.143
Ce 3.474 3.695 2.511
Ga 0.000 0.000 0.000
Ni 5.594 6.669 7.882
Ni -0.137 0.392 2.772
Ni 2.729 3.531 5.327
Ni 1.265 1.933 4.051
Ni 0.335 3.101 5.967
Ni 1.972 1.337 6.297
Ni 4.192 5.128 6.604
Ni 3.485 5.724 4.357
Ni 5.123 3.960 4.687

Record 3
28
Lattice="5.590 0.000 0.000 0.000 8.068 0.000 0.000 0.000 12.771" Properties=species:S:1:pos:R:3 comment="Ce3Ga2Ni2, optimized geometry, DFT GGA-PBE" e_form_ev_per_atom=-0.483 vol_a3_per_atom=20.6 dft_energy_ev_per_atom=-5.5424 pbc="T T T"
Ce 0.895 7.250 7.598
Ce 4.695 0.818 1.212
Ce 0.895 4.852 5.173
Ce 4.695 3.216 11.558
Ce 4.695 0.818 5.173
Ce 0.895 7.250 11.558
Ce 4.695 3.216 7.598
Ce 0.895 4.852 1.212
Ce 1.984 2.048 9.578
Ce 3.606 6.020 3.193
Ce 1.984 1.986 3.193
Ce 3.606 6.082 9.578
Ga 4.759 0.843 9.578
Ga 0.830 7.225 3.193
Ga 4.759 3.191 3.193
Ga 0.830 4.877 9.578
Ga 1.895 2.017 6.385
Ga 3.695 6.051 0.000
Ga 3.695 6.051 6.385
Ga 1.895 2.017 0.000
Ni 3.443 0.293 7.534
Ni 2.147 7.775 1.149
Ni 3.443 3.741 5.236
Ni 2.147 4.327 11.622
Ni 2.147 7.775 5.236
Ni 3.443 0.293 11.622
Ni 2.147 4.327 7.534
Ni 3.443 3.741 1.149

Record 4
12
Lattice="5.169 0.000 0.000 0.000 6.273 -0.041 0.000 -1.300 6.137" Properties=species:S:1:pos:R:3 comment="CeGa3Ni2, optimized geometry, DFT GGA-PBE" e_form_ev_per_atom=-0.518 vol_a3_per_atom=16.6 dft_energy_ev_per_atom=-4.9476 pbc="T T T"
Ce 1.292 1.727 2.117
Ce 3.877 3.246 3.979
Ga 3.877 2.796 0.563
Ga 3.877 -0.010 2.852
Ga 1.292 2.176 5.532
Ga 3.877 0.249 0.305
Ga 1.292 4.723 5.790
Ga 1.292 4.982 3.243
Ni 2.585 4.677 1.261
Ni 0.000 4.677 1.261
Ni 0.000 0.295 4.835
Ni 2.585 0.295 4.835

Record 5
30
Lattice="6.062 0.000 0.000 0.000 6.062 0.000 0.000 0.000 15.400" Properties=species:S:1:pos:R:3 comment="Ce2Ga12Ni, optimized geometry, DFT GGA-PBE" e_form_ev_per_atom=-0.393 vol_a3_per_atom=18.9 dft_energy_ev_per_atom=-3.9913 pbc="T T T"
Ce 0.000 3.031 11.680
Ce 0.000 3.031 3.720
Ce 3.031 0.000 3.720
Ce 3.031 0.000 11.680
Ga 4.064 1.033 6.602
Ga 1.033 4.064 8.798
Ga 0.000 0.000 5.250
Ga 4.545 4.548 1.301
Ga 4.545 1.514 14.099
Ga 4.548 1.517 1.301
Ga 1.514 1.517 14.099
Ga 3.031 3.031 12.581
Ga 5.028 1.998 8.798
Ga 1.517 4.548 14.099
Ga 0.000 0.000 12.581
Ga 5.028 4.064 6.602
Ga 1.998 5.028 6.602
Ga 3.031 3.031 5.250
Ga 3.031 3.031 2.819
Ga 1.514 4.545 1.301
Ga 4.064 5.028 8.798
Ga 4.548 4.545 14.099
Ga 1.998 1.033 8.798
Ga 1.517 1.514 1.301
Ga 3.031 3.031 10.150
Ga 1.033 1.998 6.602
Ga 0.000 0.000 2.819
Ga 0.000 0.000 10.150
Ni 0.000 3.031 0.000
Ni 3.031 0.000 0.000

Record 6
16
Lattice="4.391 0.000 0.000 -2.196 4.967 0.000 0.000 0.000 14.838" Properties=species:S:1:pos:R:3 comment="Ce3Ga3Ni2, optimized geometry, DFT GGA-PBE" e_form_ev_per_atom=-0.518 vol_a3_per_atom=20.2 dft_energy_ev_per_atom=-5.3238 pbc="T T T"
Ce 2.196 4.087 5.810
Ce 0.000 0.880 13.229
Ce 2.196 4.087 1.610
Ce 0.000 0.880 9.029
Ce 2.196 1.348 3.710
Ce 0.000 3.619 11.129
Ga 2.196 1.240 6.866
Ga 0.000 3.727 14.285
Ga 2.196 1.240 0.553
Ga 0.000 3.727 7.972
Ga 0.000 3.341 3.710
Ga 2.196 1.626 11.129
Ni 2.196 3.000 13.290
Ni 0.000 1.967 5.871
Ni 2.196 3.000 8.968
Ni 0.000 1.967 1.548

Record 7
12
Lattice="-5.072 0.026 2.714 0.668 -4.693 3.260 5.181 6.595 2.539" Properties=species:S:1:pos:R:3 comment="Ce2Ga3Ni, optimized geometry, DFT GGA-PBE" e_form_ev_per_atom=-0.547 vol_a3_per_atom=20.7 dft_energy_ev_per_atom=-5.0021 pbc="T T T"
Ce -1.047 2.144 4.120
Ce -3.566 -1.212 2.857
Ce 1.823 -0.216 4.393
Ce -0.838 -3.455 3.116
Ga -2.782 -2.759 5.408
Ga 1.381 2.380 6.058
Ga 3.559 4.687 3.104
Ga -0.604 -0.451 2.454
Ga 1.011 1.446 1.875
Ga -0.234 0.482 6.637
Ni -1.206 -0.908 4.835
Ni 1.983 2.837 3.678

Record 8
11
Lattice="5.029 0.000 0.000 0.000 6.366 -0.027 -2.514 -2.731 8.435" Properties=species:S:1:pos:R:3 comment="Ce8Ga2Ni, optimized geometry, DFT GGA-PBE" e_form_ev_per_atom=-0.215 vol_a3_per_atom=24.5 dft_energy_ev_per_atom=-5.6069 pbc="T T T"
Ce 0.000 1.460 6.958
Ce 2.514 5.188 2.615
Ce 2.514 3.381 4.772
Ce 0.000 1.462 0.032
Ce 0.000 0.254 3.636
Ce 0.000 -1.553 5.793
Ce 2.514 2.175 1.450
Ce 2.514 2.173 8.376
Ga 2.514 0.254 5.575
Ga 0.000 3.381 2.833
Ni 2.514 0.000 0.000

Record 9
20
Lattice="-0.018 2.573 3.281 5.784 -4.561 3.609 7.468 5.864 -4.558" Properties=species:S:1:pos:R:3 comment="CeGa3Ni, optimized geometry, DFT GGA-PBE" e_form_ev_per_atom=-0.557 e_above_lowest_polymorph_ev_per_fu=0.16 vol_a3_per_atom=18.0 dft_energy_ev_per_atom=-4.7161 pbc="T T T"
Ce 4.768 -1.695 5.330
Ce 7.809 0.503 0.973
Ce 5.425 3.373 1.359
Ce 8.467 5.571 -2.998
Ga 3.886 -1.412 2.453
Ga 9.348 5.288 -0.121
Ga 3.441 2.790 -0.844
Ga 9.794 1.086 3.177
Ga 7.437 3.025 -1.007
Ga 2.188 2.568 1.973
Ga 11.047 1.308 0.360
Ga 9.017 3.241 1.482
Ga 4.217 0.635 0.850
Ga 6.611 5.903 -0.619
Ga 5.797 0.850 3.339
Ga 6.624 -2.028 2.951
Ni 5.384 4.004 -1.786
Ni 9.807 2.926 -0.916
Ni 3.428 0.950 3.248
Ni 7.850 -0.129 4.118

Record 10
10
Lattice="3.746 0.000 0.000 0.000 3.746 0.000 0.000 0.000 10.814" Properties=species:S:1:pos:R:3 comment="Ce2GaNi7, optimized geometry, DFT GGA-PBE" e_form_ev_per_atom=-0.305 vol_a3_per_atom=15.2 dft_energy_ev_per_atom=-5.8414 pbc="T T T"
Ce 1.873 0.000 7.899
Ce 0.000 1.873 2.915
Ga 1.873 1.873 0.000
Ni 0.000 1.873 9.271
Ni 1.873 0.000 3.880
Ni 1.873 0.000 1.543
Ni 0.000 1.873 6.934
Ni 0.000 0.000 5.407
Ni 0.000 0.000 0.000
Ni 1.873 1.873 5.407

Record 11
9
Lattice="-0.699 5.066 -3.553 -5.676 2.378 -0.950 -1.574 5.435 2.601" Properties=species:S:1:pos:R:3 comment="Ce2Ga6Ni, optimized geometry, DFT GGA-PBE" e_form_ev_per_atom=-0.561 vol_a3_per_atom=19.0 dft_energy_ev_per_atom=-4.5401 pbc="T T T"
Ce -1.987 3.220 -0.476
Ce -5.962 9.659 -1.427
Ga -5.431 7.050 0.206
Ga -4.731 4.633 -0.950
Ga -3.218 8.245 -0.952
Ga -2.518 5.829 -2.108
Ga -5.042 6.886 -2.531
Ga -2.907 5.993 0.628
Ni 0.000 0.000 0.000

Record 12
14
Lattice="-6.244 -1.061 -2.998 5.072 -1.144 -4.698 0.778 -4.402 5.396" Properties=species:S:1:pos:R:3 comment="Ce2Ga2Ni3, optimized geometry, DFT GGA-PBE" e_form_ev_per_atom=-0.352 vol_a3_per_atom=18.9 dft_energy_ev_per_atom=-5.3904 pbc="T T T"
Ce 0.398 -2.251 2.759
Ce -0.140 -3.317 -1.203
Ce 2.732 -6.002 -0.775
Ce 2.465 -0.584 -2.383
Ga 0.722 -4.085 5.008
Ga 1.974 -3.794 -3.161
Ga 2.897 -3.248 0.184
Ga -0.137 -1.026 -3.633
Ni -1.097 -1.871 -5.677
Ni -2.809 -3.066 -0.820
Ni -4.735 -2.360 -2.517
Ni -1.317 -4.206 1.067
Ni -1.134 -1.586 0.627
Ni -2.185 -2.248 -3.276

Record 13
24
Lattice="-6.997 1.030 2.486 -1.536 -2.066 7.837 -1.736 7.321 3.382" Properties=species:S:1:pos:R:3 comment="CeGa9Ni2, optimized geometry, DFT GGA-PBE" e_form_ev_per_atom=-0.259 vol_a3_per_atom=16.9 dft_energy_ev_per_atom=-3.9873 pbc="T T T"
Ce -3.498 0.515 1.243
Ce -3.385 2.885 6.231
Ga -6.884 3.400 7.474
Ga 0.000 0.000 0.000
Ga -2.643 3.073 9.547
Ga -4.935 2.816 3.202
Ga -6.032 4.554 5.046
Ga -5.045 1.850 8.946
Ga -7.464 3.295 10.231
Ga -1.997 2.871 3.187
Ga -2.467 0.513 8.493
Ga -3.496 5.138 3.682
Ga -7.513 5.582 9.146
Ga -1.948 0.584 4.272
Ga -2.588 6.167 5.810
Ga -3.375 -0.516 6.365
Ga -2.692 5.360 8.462
Ga -4.886 0.529 4.287
Ga -5.952 0.821 6.818
Ga -5.125 5.583 7.174
Ni -7.808 5.876 6.671
Ni -7.708 1.182 8.898
Ni -6.940 2.215 4.980
Ni -5.078 4.327 9.347

Record 14
13
Lattice="5.148 0.000 0.000 2.574 6.143 0.000 2.574 0.000 6.143" Properties=species:S:1:pos:R:3 comment="CeGa8Ni4, optimized geometry, DFT GGA-PBE" e_form_ev_per_atom=-0.415 vol_a3_per_atom=14.9 dft_energy_ev_per_atom=-4.5133 pbc="T T T"
Ce 0.000 0.000 0.000
Ga 2.574 2.116 4.028
Ga 2.574 4.028 2.116
Ga 5.148 4.028 4.028
Ga 5.148 2.116 2.116
Ga 5.148 4.780 1.364
Ga 5.148 1.364 4.780
Ga 2.574 1.364 1.364
Ga 7.722 4.780 4.780
Ni 1.287 0.000 3.072
Ni 3.861 0.000 3.072
Ni 1.287 3.072 0.000
Ni 3.861 3.072 0.000

Record 15
5
Lattice="6.000 0.041 0.000 3.085 5.146 0.000 -4.543 -2.594 2.939" Properties=species:S:1:pos:R:3 comment="CeGa3Ni, optimized geometry, DFT GGA-PBE" e_form_ev_per_atom=-0.499 e_above_lowest_polymorph_ev_per_fu=0.45 vol_a3_per_atom=18.1 dft_energy_ev_per_atom=-4.6581 pbc="T T T"
Ce 0.000 0.000 0.000
Ga 5.622 3.210 0.000
Ga 3.464 1.978 0.000
Ga 3.000 0.021 1.470
Ni 1.543 2.573 1.470

Record 16
12
Lattice="5.715 0.000 0.000 0.000 7.575 0.000 0.000 -3.788 5.277" Properties=species:S:1:pos:R:3 comment="CeGa3NiOs, optimized geometry, DFT GGA-PBE" e_form_ev_per_atom=-0.206 vol_a3_per_atom=19.0 dft_energy_ev_per_atom=-5.5433 pbc="T T T"
Ce 4.287 0.000 3.071
Ce 1.429 3.788 2.206
Ga 1.429 0.000 1.921
Ga 0.000 1.899 0.000
Ga 2.858 5.677 0.000
Ga 2.858 1.899 0.000
Ga 0.000 5.677 0.000
Ga 4.287 3.788 3.356
Ni 1.429 3.788 4.840
Ni 4.287 0.000 0.437
Os 1.429 0.000 4.352
Os 4.287 3.788 0.925

Record 17
10
Lattice="3.997 0.000 0.000 0.000 3.997 0.000 0.000 0.000 9.434" Properties=species:S:1:pos:R:3 comment="Ce2GaNi4P3, optimized geometry, DFT GGA-PBE" e_form_ev_per_atom=-0.948 vol_a3_per_atom=15.1 dft_energy_ev_per_atom=-6.3731 pbc="T T T"
Ce 1.998 0.000 2.294
Ce 0.000 1.998 7.140
Ga 1.998 1.998 4.717
Ni 1.998 1.998 0.000
Ni 0.000 0.000 0.000
Ni 1.998 0.000 5.974
Ni 0.000 1.998 3.461
P 0.000 0.000 4.717
P 1.998 0.000 8.227
P 0.000 1.998 1.207

Record 18
6
Lattice="-0.657 4.049 -1.285 -4.208 -0.798 -0.363 -0.742 1.536 5.221" Properties=species:S:1:pos:R:3 comment="CeGa2Ni2P, optimized geometry, DFT GGA-PBE" e_form_ev_per_atom=-0.549 vol_a3_per_atom=16.9 dft_energy_ev_per_atom=-5.3759 pbc="T T T"
Ce -0.371 0.768 2.610
Ga -2.977 2.754 3.012
Ga -2.629 2.033 0.562
Ni -0.328 2.024 -0.642
Ni -2.104 -0.399 -0.181
P 0.000 0.000 0.000